Record 1
Here is an optimized crystal structure of YPuCuRh from the Alexandria database. Energies are from GGA-PBE.

The structure in CIF format:
```
data_YPuCuRh
_cell_length_a 6.925
_cell_length_b 6.925
_cell_length_c 6.925
_cell_angle_alpha 90.00
_cell_angle_beta 90.00
_cell_angle_gamma 90.00
_symmetry_space_group_name_H-M 'F -4 3 m'
_symmetry_Int_Tables_number 216
_symmetry_space_group_name_Hall 'F -4 2 3'
loop_
_atom_site_label
_atom_site_type_symbol
_atom_site_fract_x
_atom_site_fract_y
_atom_site_fract_z
_atom_site_occupancy
Y1 Y 0.000 0.000 0.000 1
Pu1 Pu 0.000 0.000 0.500 1
Cu1 Cu 0.250 0.250 0.250 1
Rh1 Rh 0.250 0.250 0.750 1
```

Results
The mass density comes out at 9986 kg/m³. The value obtained for the density of states at the Fermi level is 45.1 states/eV per cell. For the formation energy, the calculation gives -1.28 eV per formula unit.



Record 2
Here is an optimized crystal structure of Pu2Zn5Cu2Rh from the Alexandria database. Energies are from GGA-PBE.

The structure in CIF format:
```
data_Pu2Zn5Cu2Rh
_cell_length_a 10.846
_cell_length_b 10.846
_cell_length_c 2.874
_cell_angle_alpha 90.00
_cell_angle_beta 90.00
_cell_angle_gamma 90.00
_symmetry_space_group_name_H-M 'P 4/m b m'
_symmetry_Int_Tables_number 127
_symmetry_space_group_name_Hall '-P 4 2ab'
loop_
_atom_site_label
_atom_site_type_symbol
_atom_site_fract_x
_atom_site_fract_y
_atom_site_fract_z
_atom_site_occupancy
Pu1 Pu 0.178 0.322 0.000 1
Zn1 Zn 0.000 0.500 0.500 1
Zn2 Zn 0.055 0.811 0.500 1
Cu1 Cu 0.131 0.631 0.000 1
Rh1 Rh 0.000 0.000 0.000 1
```

Results
The mass density comes out at 10265 kg/m³. The value obtained for the density of states at the Fermi level is 33.3 states/eV per cell. For the formation energy, the calculation gives -1.42 eV per formula unit.



Record 3
Here is an optimized crystal structure of Pu2ZnCuRh2 from the Alexandria database. Energies are from GGA-PBE.

The structure in CIF format:
```
data_Pu2ZnCuRh2
_cell_length_a 5.427
_cell_length_b 15.011
_cell_length_c 5.485
_cell_angle_alpha 90.00
_cell_angle_beta 90.00
_cell_angle_gamma 90.00
_symmetry_space_group_name_H-M 'I b a m'
_symmetry_Int_Tables_number 72
_symmetry_space_group_name_Hall '-I 2 2c'
loop_
_atom_site_label
_atom_site_type_symbol
_atom_site_fract_x
_atom_site_fract_y
_atom_site_fract_z
_atom_site_occupancy
Pu1 Pu 0.242 0.169 0.000 1
Zn1 Zn 0.000 0.500 0.250 1
Cu1 Cu 0.000 0.000 0.250 1
Rh1 Rh 0.243 0.372 0.000 1
```

Results
The mass density comes out at 12230 kg/m³. The value obtained for the density of states at the Fermi level is 65.8 states/eV per cell. For the formation energy, the calculation gives -2.10 eV per formula unit.



Record 4
Here is an optimized crystal structure of Pu8CuRu5 from the Alexandria database. Energies are from GGA-PBE.

The structure in CIF format:
```
data_Pu8CuRu5
_cell_length_a 8.506
_cell_length_b 8.506
_cell_length_c 8.280
_cell_angle_alpha 90.00
_cell_angle_beta 90.00
_cell_angle_gamma 90.00
_symmetry_space_group_name_H-M 'I -4'
_symmetry_Int_Tables_number 82
loop_
_symmetry_equiv_pos_as_xyz
'x,y,z'
'y,-x,-z'
'-x,-y,z'
'-y,x,-z'
'x+1/2,y+1/2,z+1/2'
'y+1/2,-x+1/2,-z+1/2'
'-x+1/2,-y+1/2,z+1/2'
'-y+1/2,x+1/2,-z+1/2'
loop_
_atom_site_label
_atom_site_type_symbol
_atom_site_fract_x
_atom_site_fract_y
_atom_site_fract_z
_atom_site_occupancy
Pu1 Pu 0.066 0.173 0.309 1
Pu2 Pu 0.070 0.315 0.939 1
Cu1 Cu 0.000 0.500 0.250 1
Ru1 Ru 0.000 0.000 0.000 1
Ru2 Ru 0.134 0.255 0.615 1
```

Results
The mass density comes out at 13975 kg/m³. The value obtained for the density of states at the Fermi level is 96.4 states/eV per cell. For the formation energy, the calculation gives -0.72 eV per formula unit.



Record 5
Here is an optimized crystal structure of Pu4Cu2Ru from the Alexandria database. Energies are from GGA-PBE.

The structure in CIF format:
```
data_Pu4Cu2Ru
_cell_length_a 4.323
_cell_length_b 15.255
_cell_length_c 5.112
_cell_angle_alpha 90.00
_cell_angle_beta 90.00
_cell_angle_gamma 90.00
_symmetry_space_group_name_H-M 'C m m m'
_symmetry_Int_Tables_number 65
_symmetry_space_group_name_Hall '-C 2 2'
loop_
_atom_site_label
_atom_site_type_symbol
_atom_site_fract_x
_atom_site_fract_y
_atom_site_fract_z
_atom_site_occupancy
Pu1 Pu 0.000 0.093 0.000 1
Pu2 Pu 0.000 0.377 0.500 1
Cu1 Cu 0.000 0.281 0.000 1
Ru1 Ru 0.000 0.000 0.500 1
```

Results
The mass density comes out at 11862 kg/m³. The value obtained for the density of states at the Fermi level is 52.5 states/eV per cell. For the formation energy, the calculation gives 1.62 eV per formula unit.



Record 6
Here is an optimized crystal structure of Pu6CuRu5 from the Alexandria database. Energies are from GGA-PBE.

The structure in CIF format:
```
data_Pu6CuRu5
_cell_length_a 5.092
_cell_length_b 11.741
_cell_length_c 7.878
_cell_angle_alpha 90.00
_cell_angle_beta 90.00
_cell_angle_gamma 90.00
_symmetry_space_group_name_H-M 'C m m m'
_symmetry_Int_Tables_number 65
_symmetry_space_group_name_Hall '-C 2 2'
loop_
_atom_site_label
_atom_site_type_symbol
_atom_site_fract_x
_atom_site_fract_y
_atom_site_fract_z
_atom_site_occupancy
Pu1 Pu 0.000 0.000 0.213 1
Pu2 Pu 0.000 0.325 0.276 1
Cu1 Cu 0.000 0.500 0.000 1
Ru1 Ru 0.000 0.131 0.500 1
Ru2 Ru 0.000 0.184 0.000 1
Ru3 Ru 0.000 0.500 0.500 1
```

Results
The mass density comes out at 14334 kg/m³. The value obtained for the density of states at the Fermi level is 67.9 states/eV per cell. For the formation energy, the calculation gives -0.62 eV per formula unit.